This record from Alexandria via LeMat-Bulk describes TbTmCdBi after structural relaxation. The functional is PBE.

Properties
The calculation puts the total magnetization at 0.00 μB/cell. As for the space group: F-43m, No. 216. The formation energy comes out at -0.39 eV per atom.

a = 5.383 Å, b = 5.383 Å, c = 5.383 Å
α = 60.00°, β = 60.00°, γ = 60.00°
Fractional coordinates of all 4 atoms:
Tb 0.000 0.000 0.000
Tm 0.500 0.500 0.500
Cd 0.250 0.250 0.250
Bi 0.750 0.750 0.750

=====

This record from Alexandria via LeMat-Bulk describes SmAl2Co after structural relaxation. The functional is PBE.

Properties
The calculation puts the total magnetization at 0.80 μB/cell. As for the space group: P4/mmm, No. 123. The formation energy comes out at -0.34 eV per atom.

a = 3.075 Å, b = 3.075 Å, c = 7.400 Å
α = 90.00°, β = 90.00°, γ = 90.00°
Fractional coordinates of all 4 atoms:
Sm 0.000 0.000 0.000
Al 0.500 0.500 0.320
Al 0.500 0.500 0.680
Co 0.000 0.000 0.500

=====

This record from Alexandria via LeMat-Bulk describes SrTl2Cu2F7 after structural relaxation. The functional is PBE.

Properties
The calculation puts the total magnetization at 1.02 μB/cell. As for the space group: C2/m, No. 12. For the formation energy from raw total energies, the calculation gives -2.11 eV per atom.

a = 4.168 Å, b = 4.168 Å, c = 11.321 Å
α = 100.57°, β = 100.57°, γ = 89.99°
Fractional coordinates of all 12 atoms:
Sr 0.000 0.000 0.000
Tl 0.184 0.184 0.368
Tl 0.816 0.816 0.632
Cu 0.405 0.405 0.809
Cu 0.595 0.595 0.191
F 0.079 0.579 0.159
F 0.312 0.312 0.618
F 0.421 0.921 0.841
F 0.500 0.500 0.000
F 0.579 0.079 0.159
F 0.688 0.688 0.382
F 0.921 0.421 0.841

=====

This record from Alexandria via LeMat-Bulk describes InAsPb after structural relaxation. The functional is PBE.

Properties
The calculation puts the total magnetization at 0.00 μB/cell. As for the space group: P2_13, No. 198. The formation energy comes out at 0.03 eV per atom.

a = 7.065 Å, b = 7.065 Å, c = 7.065 Å
α = 90.00°, β = 90.00°, γ = 90.00°
Fractional coordinates of all 12 atoms:
In 0.020 0.020 0.020
In 0.480 0.980 0.520
In 0.520 0.480 0.980
In 0.980 0.520 0.480
As 0.159 0.841 0.341
As 0.341 0.159 0.841
As 0.659 0.659 0.659
As 0.841 0.341 0.159
Pb 0.076 0.576 0.924
Pb 0.424 0.424 0.424
Pb 0.576 0.924 0.076
Pb 0.924 0.076 0.576

=====

This record from Alexandria via LeMat-Bulk describes CuNi2W after structural relaxation. The functional is PBE.

Properties
The calculation puts the total magnetization at 0.00 μB/cell. As for the space group: Cm, No. 8. The formation energy comes out at 0.08 eV per atom.

a = 4.543 Å, b = 4.543 Å, c = 4.434 Å
α = 100.49°, β = 100.49°, γ = 33.72°
Fractional coordinates of all 4 atoms:
Cu 0.000 0.000 0.000
Ni 0.250 0.250 0.782
Ni 0.509 0.509 0.507
W 0.758 0.758 0.289

=====

This record from Alexandria via LeMat-Bulk describes SrCd2GaPt2 after structural relaxation. The functional is PBE.

Properties
The calculation puts the total magnetization at 0.00 μB/cell. As for the space group: I4/mmm, No. 139. The formation energy comes out at -0.37 eV per atom.

a = 6.675 Å, b = 6.675 Å, c = 6.675 Å
α = 132.63°, β = 132.63°, γ = 69.23°
Fractional coordinates of all 6 atoms:
Sr 0.000 0.000 0.000
Cd 0.250 0.750 0.500
Cd 0.750 0.250 0.500
Ga 0.500 0.500 0.000
Pt 0.286 0.286 0.000
Pt 0.714 0.714 0.000

=====

This record from Alexandria via LeMat-Bulk describes HoInAu4 after structural relaxation. The functional is PBE.

Properties
The calculation puts the total magnetization at 0.00 μB/cell. As for the space group: F-43m, No. 216. The formation energy comes out at -0.43 eV per atom.

a = 5.603 Å, b = 5.603 Å, c = 5.603 Å
α = 60.00°, β = 60.00°, γ = 60.00°
Fractional coordinates of all 6 atoms:
Ho 0.000 0.000 0.000
In 0.250 0.250 0.250
Au 0.125 0.625 0.625
Au 0.625 0.125 0.625
Au 0.625 0.625 0.125
Au 0.625 0.625 0.625

=====

This record from Alexandria via LeMat-Bulk describes KNdAu10 after structural relaxation. The functional is PBE.

Properties
The calculation puts the total magnetization at 0.00 μB/cell. As for the space group: Pmmm, No. 47. The formation energy comes out at -0.30 eV per atom.

a = 4.677 Å, b = 5.640 Å, c = 9.890 Å
α = 90.00°, β = 90.00°, γ = 90.00°
Fractional coordinates of all 12 atoms:
K 0.000 0.000 0.000
Nd 0.000 0.500 0.500
Au 0.000 0.000 0.339
Au 0.000 0.000 0.661
Au 0.000 0.500 0.176
Au 0.000 0.500 0.824
Au 0.500 0.000 0.500
Au 0.500 0.254 0.257
Au 0.500 0.254 0.743
Au 0.500 0.500 0.000
Au 0.500 0.746 0.257
Au 0.500 0.746 0.743

=====

This record from Alexandria via LeMat-Bulk describes ZnW3 after structural relaxation. The functional is PBE.

Properties
The calculation puts the total magnetization at 0.00 μB/cell. As for the space group: Fm-3m, No. 225. The formation energy comes out at 0.39 eV per atom.

a = 4.467 Å, b = 4.467 Å, c = 4.467 Å
α = 60.00°, β = 60.00°, γ = 60.00°
Fractional coordinates of all 4 atoms:
Zn 0.000 0.000 0.000
W 0.250 0.250 0.250
W 0.500 0.500 0.500
W 0.750 0.750 0.750

=====

This record from Alexandria via LeMat-Bulk describes HfTi4In after structural relaxation. The functional is PBE.

Properties
The calculation puts the total magnetization at 2.58 μB/cell. As for the space group: F-43m, No. 216. The formation energy comes out at 0.07 eV per atom.

a = 5.434 Å, b = 5.434 Å, c = 5.434 Å
α = 60.00°, β = 60.00°, γ = 60.00°
Fractional coordinates of all 6 atoms:
Hf 0.000 0.000 0.000
Ti 0.372 0.372 0.372
Ti 0.372 0.372 0.885
Ti 0.372 0.885 0.372
Ti 0.885 0.372 0.372
In 0.750 0.750 0.750

=====

This record from Alexandria via LeMat-Bulk describes Sr2Tl4Pb after structural relaxation. The functional is PBE.

Properties
The calculation puts the total magnetization at 0.00 μB/cell. As for the space group: P2_1/m, No. 11. The formation energy comes out at -0.23 eV per atom.

a = 8.584 Å, b = 6.281 Å, c = 9.595 Å
α = 90.00°, β = 115.48°, γ = 90.00°
Fractional coordinates of all 14 atoms:
Sr 0.164 0.250 0.063
Sr 0.318 0.250 0.513
Sr 0.682 0.750 0.487
Sr 0.836 0.750 0.937
Tl 0.086 0.501 0.704
Tl 0.086 0.999 0.704
Tl 0.410 0.750 0.680
Tl 0.468 0.750 0.053
Tl 0.532 0.250 0.947
Tl 0.590 0.250 0.320
Tl 0.914 0.001 0.296
Tl 0.914 0.499 0.296
Pb 0.245 0.750 0.262
Pb 0.755 0.250 0.738

=====

This record from Alexandria via LeMat-Bulk describes KZr2P after structural relaxation. The functional is PBE.

Properties
The calculation puts the total magnetization at 0.00 μB/cell. As for the space group: I-4m2, No. 119. The formation energy comes out at 0.51 eV per atom.

a = 5.681 Å, b = 5.681 Å, c = 5.681 Å
α = 136.31°, β = 136.31°, γ = 63.50°
Fractional coordinates of all 4 atoms:
K 0.000 0.000 0.000
Zr 0.500 0.500 0.000
Zr 0.750 0.250 0.500
P 0.250 0.750 0.500